This record from the Alexandria database describes a PBEsol-optimized structure of Ta8Mn. The functional is meta-GGA SCAN.

Cell: 3.2129 7.0520 7.0520 Å, 87.03 76.83 76.83°
Sites, in units of the cell vectors:
Ta: 0.3406 0.3189 0.0000
Ta: 0.0000 0.6675 0.3325
Ta: 0.6594 0.0000 0.6811
Ta: 0.3406 0.0000 0.3189
Ta: 0.6594 0.6811 0.0000
Ta: 0.6675 0.3325 0.3325
Ta: 0.0000 0.3325 0.6675
Ta: 0.3325 0.6675 0.6675
Mn: 0.0000 0.0000 0.0000

* space-group type: No. 139
* ρ: 16.47 g cm⁻³
* formation energy: -0.4 kcal/mol of atoms

---

This record from the Alexandria database describes a PBEsol-optimized structure of Cd2Ge2Sb. The functional is meta-GGA SCAN.

Cell: 3.7168 3.7168 8.4616 Å, 102.69 102.69 90.00°
Sites, in units of the cell vectors:
Cd: 0.3981 0.3981 0.7962
Cd: 0.6019 0.6019 0.2038
Ge: 0.2500 0.7500 0.5000
Ge: 0.7500 0.2500 0.5000
Sb: 0.0000 0.0000 0.0000

* space-group type: No. 139
* ρ: 7.35 g cm⁻³
* E_tot: -135.1 eV for the cell shown

---

This record from the Alexandria database describes a PBEsol-optimized structure of Sb3Br2F16. The functional is meta-GGA SCAN.

Cell: 7.6196 7.6196 14.4243 Å, 85.70 85.70 60.32°
Sites, in units of the cell vectors:
Br: 0.2585 0.5982 0.7968
Br: 0.4018 0.7415 0.7032
Br: 0.7415 0.4018 0.2032
Br: 0.5982 0.2585 0.2968
F: 0.8300 0.5639 0.4004
F: 0.4361 0.1700 0.0996
F: 0.9707 0.5069 0.1047
F: 0.5639 0.8300 0.9004
F: 0.5118 0.1982 0.9183
F: 0.0256 0.9843 0.3747
F: 0.5069 0.9707 0.6047
F: 0.3469 0.8033 0.4828
F: 0.0157 0.9744 0.1253
F: 0.8234 0.7937 0.7086
F: 0.6531 0.1967 0.5172
F: 0.2063 0.1766 0.7914
F: 0.7956 0.8798 0.0217
F: 0.2148 0.5856 0.2095
F: 0.7852 0.4144 0.7905
F: 0.5856 0.2148 0.7095
F: 0.9744 0.0157 0.6253
F: 0.8018 0.4882 0.5817
F: 0.8798 0.7956 0.5217
F: 0.1766 0.2063 0.2914
F: 0.1202 0.2044 0.4783
F: 0.0293 0.4931 0.8953
F: 0.4882 0.8018 0.0817
F: 0.1967 0.6531 0.0172
F: 0.4931 0.0293 0.3953
F: 0.9843 0.0256 0.8747
F: 0.2044 0.1202 0.9783
F: 0.4144 0.7852 0.2905
F: 0.1700 0.4361 0.5996
F: 0.8033 0.3469 0.9828
F: 0.1982 0.5118 0.4183
F: 0.7937 0.8234 0.2086
Sb: 0.2728 0.9838 0.3782
Sb: 0.0162 0.7272 0.1218
Sb: 0.9838 0.2728 0.8782
Sb: 0.7272 0.0162 0.6218
Sb: 0.5000 0.0000 0.0000
Sb: 0.0000 0.5000 0.5000

* space-group type: No. 15
* ρ: 3.80 g cm⁻³
* E_tot: -501.2 eV for the cell shown

---

This record from the Alexandria database describes a PBEsol-optimized structure of SbPS2. The functional is meta-GGA SCAN.

Cell: 3.4017 3.4017 8.4243 Å, 78.35 78.35 60.00°
Sites, in units of the cell vectors:
P: 0.5000 0.5000 0.5000
S: 0.8904 0.8904 0.3287
S: 0.1096 0.1096 0.6713
Sb: 0.0000 0.0000 0.0000

* space-group type: No. 166
* ρ: 4.39 g cm⁻³
* E_tot: -66.3 eV for the cell shown

---

This record from the Alexandria database describes a PBEsol-optimized structure of TiMoC2. The functional is meta-GGA SCAN.

Cell: 3.0313 3.0313 5.3056 Å, 73.40 73.40 60.00°
Sites, in units of the cell vectors:
Ti: 0.0000 0.0000 0.0000
Mo: 0.5000 0.5000 0.5000
C: 0.2511 0.2511 0.2467
C: 0.7489 0.7489 0.7533

* space-group type: No. 166
* ρ: 6.99 g cm⁻³
* formation energy: -10.8 kcal/mol of atoms

---

This record from the Alexandria database describes a PBEsol-optimized structure of TaSiH3. The functional is meta-GGA SCAN.

Cell: 3.3666 3.3666 3.3666 Å, 90.00 90.00 90.00°
Sites, in units of the cell vectors:
Si: 0.0000 0.0000 0.0000
H: 0.0000 0.0000 0.5000
H: 0.5000 0.0000 0.0000
H: 0.0000 0.5000 0.0000
Ta: 0.5000 0.5000 0.5000

* space-group type: No. 221
* ρ: 9.23 g cm⁻³
* E_tot: -82.8 eV for the cell shown

---

This record from the Alexandria database describes a PBEsol-optimized structure of LiMn2OF3. The functional is meta-GGA SCAN.

Cell: 5.1663 6.2206 10.5199 Å, 90.00 90.00 90.00°
Sites, in units of the cell vectors:
Mn: 0.0000 0.0000 0.5000
Mn: 0.9946 0.2500 0.7607
Mn: 0.4946 0.7500 0.7393
Mn: 0.5000 0.5000 0.0000
Mn: 0.0054 0.7500 0.2393
Mn: 0.0000 0.5000 0.5000
Mn: 0.5054 0.2500 0.2607
Mn: 0.5000 0.0000 0.0000
Li: 0.4800 0.2500 0.5894
Li: 0.5200 0.7500 0.4106
Li: 0.0200 0.2500 0.0894
Li: 0.9800 0.7500 0.9106
F: 0.2866 0.0220 0.6683
F: 0.2057 0.2500 0.9296
F: 0.7057 0.7500 0.5704
F: 0.2943 0.2500 0.4296
F: 0.7866 0.5220 0.8317
F: 0.2866 0.4780 0.6683
F: 0.7943 0.7500 0.0704
F: 0.2134 0.4780 0.1683
F: 0.7134 0.9780 0.3317
F: 0.7134 0.5220 0.3317
F: 0.7866 0.9780 0.8317
F: 0.2134 0.0220 0.1683
O: 0.1600 0.7500 0.4159
O: 0.6600 0.2500 0.0841
O: 0.3400 0.7500 0.9159
O: 0.8400 0.2500 0.5841

* space-group type: No. 62
* ρ: 3.73 g cm⁻³
* E_tot: -296.6 eV for the cell shown

---

This record from the Alexandria database describes a PBEsol-optimized structure of LaZnP2Cl. The functional is meta-GGA SCAN.

Cell: 5.3589 5.5114 5.5114 Å, 90.00 90.00 90.00°
Sites, in units of the cell vectors:
Cl: 0.5000 0.0000 0.0000
P: 0.0000 0.0000 0.5000
P: 0.0000 0.5000 0.0000
Zn: 0.5000 0.5000 0.5000
La: 0.0000 0.0000 0.0000

* space-group type: No. 123
* ρ: 3.08 g cm⁻³
* E_tot: -84.4 eV for the cell shown

---

This record from the Alexandria database describes a PBEsol-optimized structure of ScAgOs2. The functional is meta-GGA SCAN.

Cell: 2.8619 4.8104 4.8560 Å, 100.68 107.14 90.00°
Sites, in units of the cell vectors:
Os: 0.7428 0.2095 0.4856
Os: 0.0064 0.0422 0.0128
Sc: 0.4959 0.5120 0.9919
Ag: 0.2549 0.7363 0.5098

* space-group type: No. 8
* ρ: 14.13 g cm⁻³
* formation energy: 3.1 kcal/mol of atoms

---

This record from the Alexandria database describes a PBEsol-optimized structure of K2TcSe. The functional is meta-GGA SCAN.

Cell: 4.3751 4.3751 5.4555 Å, 90.00 90.00 90.00°
Sites, in units of the cell vectors:
K: 0.0000 0.0000 0.2454
K: 0.0000 0.0000 0.7546
Se: 0.5000 0.5000 0.0000
Tc: 0.5000 0.5000 0.5000

* space-group type: No. 123
* ρ: 4.06 g cm⁻³
* E_tot: -70.5 eV for the cell shown

---

This record from the Alexandria database describes a PBEsol-optimized structure of LaMgIn2. The functional is meta-GGA SCAN.

Cell: 3.7607 3.7607 7.4801 Å, 90.00 90.00 90.00°
Sites, in units of the cell vectors:
In: 0.5000 0.5000 0.2172
In: 0.0000 0.0000 0.9925
La: 0.0000 0.0000 0.4969
Mg: 0.5000 0.5000 0.7934

* space-group type: No. 99
* ρ: 6.17 g cm⁻³
* formation energy: -7.0 kcal/mol of atoms

---

This record from the Alexandria database describes a PBEsol-optimized structure of LiSiSe2. The functional is meta-GGA SCAN.

Cell: 3.6292 3.6292 6.6980 Å, 74.28 74.28 60.00°
Sites, in units of the cell vectors:
Si: 0.0000 0.0000 0.0000
Se: 0.7434 0.7434 0.7699
Se: 0.2566 0.2566 0.2301
Li: 0.5000 0.5000 0.5000

* space-group type: No. 166
* ρ: 4.42 g cm⁻³
* E_tot: -54.9 eV for the cell shown

---

This record from the Alexandria database describes a PBEsol-optimized structure of CrBi2F. The functional is meta-GGA SCAN.

Cell: 4.6552 4.6552 9.3559 Å, 104.41 104.41 90.00°
Sites, in units of the cell vectors:
F: 0.7500 0.2500 0.5000
F: 0.5000 0.5000 0.0000
Cr: 0.2500 0.7500 0.5000
Cr: 0.0000 0.0000 0.0000
Bi: 0.1250 0.1348 0.7500
Bi: 0.6250 0.6152 0.7500
Bi: 0.8652 0.3750 0.2500
Bi: 0.3848 0.8750 0.2500

* space-group type: No. 122
* ρ: 8.56 g cm⁻³
* E_tot: -359.6 eV for the cell shown

---

This record from the Alexandria database describes a PBEsol-optimized structure of Sr4YAl. The functional is meta-GGA SCAN.

Cell: 6.9538 6.9538 6.9538 Å, 60.00 60.00 60.00°
Sites, in units of the cell vectors:
Al: 0.0000 0.0000 0.0000
Y: 0.7500 0.7500 0.7500
Sr: 0.8755 0.3748 0.3748
Sr: 0.3748 0.3748 0.3748
Sr: 0.3748 0.8755 0.3748
Sr: 0.3748 0.3748 0.8755

* space-group type: No. 216
* ρ: 3.26 g cm⁻³
* formation energy: 13.0 kcal/mol of atoms

---

This record from the Alexandria database describes a PBEsol-optimized structure of Zr4CoRe. The functional is meta-GGA SCAN.

Cell: 5.4215 5.4215 5.4215 Å, 60.00 60.00 60.00°
Sites, in units of the cell vectors:
Co: 0.7500 0.7500 0.7500
Zr: 0.3742 0.3742 0.8774
Zr: 0.3742 0.3742 0.3742
Zr: 0.8774 0.3742 0.3742
Zr: 0.3742 0.8774 0.3742
Re: 0.0000 0.0000 0.0000

* space-group type: No. 216
* ρ: 8.99 g cm⁻³
* formation energy: 19.5 kcal/mol of atoms

---

This record from the Alexandria database describes a PBEsol-optimized structure of ZrRe2Ru. The functional is meta-GGA SCAN.

Cell: 3.1097 4.3668 4.5949 Å, 90.00 90.00 90.00°
Sites, in units of the cell vectors:
Ru: 0.5000 0.0000 0.5000
Re: 0.5000 0.5000 0.0000
Re: 0.0000 0.0000 0.0000
Zr: 0.0000 0.5000 0.5000

* space-group type: No. 47
* ρ: 15.03 g cm⁻³
* formation energy: -2.9 kcal/mol of atoms

---

This record from the Alexandria database describes a PBEsol-optimized structure of LiPb2. The functional is meta-GGA SCAN.

Cell: 3.5110 8.6538 8.6538 Å, 120.00 90.00 90.00°
Sites, in units of the cell vectors:
Pb: 0.5000 0.3698 0.3698
Pb: 0.0000 0.7081 0.7081
Pb: 0.0000 0.2919 0.0000
Pb: 0.5000 0.6302 0.0000
Pb: 0.0000 0.0000 0.2919
Pb: 0.5000 0.0000 0.6302
Li: 0.5000 0.0000 0.0000
Li: 0.0000 0.3333 0.6667
Li: 0.0000 0.6667 0.3333

* space-group type: No. 189
* ρ: 9.22 g cm⁻³
* formation energy: -4.7 kcal/mol of atoms

---

This record from the Alexandria database describes a PBEsol-optimized structure of Re2BTeBr. The functional is meta-GGA SCAN.

Cell: 3.8592 4.7379 4.7379 Å, 90.00 90.00 90.00°
Sites, in units of the cell vectors:
Te: 0.5000 0.5000 0.5000
Re: 0.0000 0.0000 0.5000
Re: 0.0000 0.5000 0.0000
Br: 0.0000 0.0000 0.0000
B: 0.5000 0.0000 0.0000

* space-group type: No. 123
* ρ: 11.32 g cm⁻³
* E_tot: -193.4 eV for the cell shown

---

This record from the Alexandria database describes a PBEsol-optimized structure of LiTl2In. The functional is meta-GGA SCAN.

Cell: 4.4901 4.4901 5.7670 Å, 112.91 112.91 90.00°
Sites, in units of the cell vectors:
Li: 0.2500 0.7500 0.5000
Tl: 0.0000 0.0000 0.0000
Tl: 0.7500 0.2500 0.5000
In: 0.5000 0.5000 0.0000

* space-group type: No. 119
* ρ: 9.08 g cm⁻³
* formation energy: -2.5 kcal/mol of atoms

---

This record from the Alexandria database describes a PBEsol-optimized structure of Zn2CuPt. The functional is meta-GGA SCAN.

Cell: 2.7590 3.5662 5.3925 Å, 90.00 90.02 90.00°
Sites, in units of the cell vectors:
Pt: 0.5000 0.5000 0.5000
Zn: 0.9997 0.0000 0.2429
Zn: 0.0003 0.0000 0.7571
Cu: 0.5000 0.5000 0.0000

* space-group type: No. 47
* ρ: 12.19 g cm⁻³
* formation energy: -8.4 kcal/mol of atoms

---

This record from the Alexandria database describes a PBEsol-optimized structure of CuTe2Mo. The functional is meta-GGA SCAN.

Cell: 3.4831 3.6782 7.2891 Å, 104.61 103.82 90.00°
Sites, in units of the cell vectors:
Mo: 0.6748 0.1748 0.3495
Cu: 0.5437 0.5437 0.0874
Te: 0.0142 0.0142 0.0283
Te: 0.2674 0.7674 0.5348

* space-group type: No. 44
* ρ: 7.86 g cm⁻³
* E_tot: -124.2 eV for the cell shown

---

This record from the Alexandria database describes a PBEsol-optimized structure of LaTl2Au. The functional is meta-GGA SCAN.

Cell: 4.5660 4.5660 4.8497 Å, 90.00 90.00 90.00°
Sites, in units of the cell vectors:
Tl: 0.0000 0.5000 0.0000
Tl: 0.5000 0.0000 0.0000
La: 0.0000 0.0000 0.5000
Au: 0.5000 0.5000 0.5000

* space-group type: No. 123
* ρ: 12.23 g cm⁻³
* formation energy: -11.7 kcal/mol of atoms

---

This record from the Alexandria database describes a PBEsol-optimized structure of Al2TlZnN. The functional is meta-GGA SCAN.

Cell: 4.1762 5.3833 5.3833 Å, 90.00 90.00 90.00°
Sites, in units of the cell vectors:
N: 0.5000 0.0000 0.0000
Al: 0.0000 0.0000 0.5000
Al: 0.0000 0.5000 0.0000
Zn: 0.5000 0.5000 0.5000
Tl: 0.0000 0.0000 0.0000

* space-group type: No. 123
* ρ: 4.63 g cm⁻³
* E_tot: -103.0 eV for the cell shown